# 1
Compound: LiYC2O6
Source: Alexandria
Functional: PBE-GGA
Structure: optimized geometry

Results
Formation energy (no corrections): -2.10 eV per atom
Space group: C2/c (15)
Theoretical density: 2.969 g/cm3
E_tot: -7.754 eV per atom

a b c (Å): 6.116 6.116 7.047
angles (deg): 96.95 96.95 110.40
Fractional positions:
Li: 0.084 0.916 0.250
Li: 0.916 0.084 0.750
Y: 0.577 0.423 0.250
Y: 0.423 0.577 0.750
C: 0.427 0.124 0.774
C: 0.876 0.573 0.726
C: 0.573 0.876 0.226
C: 0.124 0.427 0.274
O: 0.968 0.523 0.247
O: 0.477 0.032 0.253
O: 0.032 0.477 0.753
O: 0.523 0.968 0.747
O: 0.124 0.244 0.163
O: 0.756 0.876 0.337
O: 0.876 0.756 0.837
O: 0.244 0.124 0.663
O: 0.305 0.529 0.418
O: 0.471 0.695 0.082
O: 0.695 0.471 0.582
O: 0.529 0.305 0.918

---

# 2
Compound: Sr4HgAu
Source: Alexandria
Functional: PBE-GGA
Structure: optimized geometry

Results
ΔE to the lowest computed polymorph: 0 meV per atom
Formation enthalpy at 0 K: -0.445 eV/atom
Space group: P4/mmm (123)
Theoretical density: 5.537 g/cm3
E_tot: -2.163 eV per atom

a b c (Å): 3.990 3.990 14.090
angles (deg): 90.00 90.00 90.00
Fractional positions:
Sr: 0.500 0.500 0.861
Sr: 0.500 0.500 0.139
Sr: 0.000 0.000 0.628
Sr: 0.000 0.000 0.372
Hg: 0.000 0.000 0.000
Au: 0.500 0.500 0.500

---

# 3
Compound: LaAlCl2
Source: Alexandria
Functional: PBE-GGA
Structure: optimized geometry

Results
Formation energy (no corrections): -1.11 eV per atom
ΔE to the lowest computed polymorph: 53 meV per atom
Space group: Immm (71)
Theoretical density: 3.808 g/cm3
E_tot: -4.203 eV per atom

a b c (Å): 5.893 5.893 5.893
angles (deg): 143.63 119.93 72.29
Fractional positions:
Cl: 0.013 0.013 0.000
Cl: 0.487 0.487 0.000
Al: 0.750 0.250 0.500
La: 0.250 0.750 0.500

---

# 4
Compound: CdTc3P
Source: Alexandria
Functional: PBE-GGA
Structure: optimized geometry

Results
ΔE to the lowest computed polymorph: 0 meV per atom
Formation enthalpy at 0 K: 0.414 eV/atom
Space group: Pm-3m (221)
Theoretical density: 8.437 g/cm3
E_tot: -7.070 eV per atom

a b c (Å): 4.415 4.415 4.415
angles (deg): 90.00 90.00 90.00
Each line ends with the local moment (μB).
Fractional positions:
P: 0.000 0.000 0.000  -0.01
Tc: 0.000 0.500 0.000  0.40
Tc: 0.000 0.000 0.500  0.38
Tc: 0.500 0.000 0.000  0.37
Cd: 0.500 0.500 0.500  0.00

---

# 5
Compound: Np4Si6Ru7
Source: Alexandria
Functional: PBE-GGA
Structure: optimized geometry

Results
Formation energy (no corrections): -0.54 eV per atom
Space group: Im-3m (229)
Theoretical density: 11.009 g/cm3
E_tot: -9.319 eV per atom

a b c (Å): 7.097 7.097 7.097
angles (deg): 109.47 109.47 109.47
Each line ends with the local moment (μB).
Fractional positions:
Np: 0.500 0.000 0.000  3.04
Np: 0.500 0.500 0.500  3.04
Np: 0.000 0.500 0.000  3.04
Np: 0.000 0.000 0.500  3.04
Si: 0.689 0.000 0.689  -0.03
Si: 0.689 0.689 0.000  -0.03
Si: 0.000 0.311 0.311  -0.03
Si: 0.311 0.000 0.311  -0.03
Si: 0.311 0.311 0.000  -0.03
Si: 0.000 0.689 0.689  -0.03
Ru: 0.750 0.500 0.250  -0.43
Ru: 0.250 0.750 0.500  -0.43
Ru: 0.500 0.750 0.250  -0.43
Ru: 0.750 0.250 0.500  -0.43
Ru: 0.250 0.500 0.750  -0.43
Ru: 0.500 0.250 0.750  -0.43
Ru: 0.000 0.000 0.000  0.15

---

# 6
Compound: PmEr6Mg2
Source: Alexandria
Functional: PBE-GGA
Structure: optimized geometry

Results
Formation enthalpy at 0 K: 0.144 eV/atom
Space group: P4/mmm (123)
Theoretical density: 7.117 g/cm3
E_tot: -3.780 eV per atom

a b c (Å): 4.824 4.824 12.005
angles (deg): 90.00 90.00 90.00
Fractional positions:
Pm: 0.000 0.000 0.000
Er: 0.000 0.500 0.290
Er: 0.500 0.000 0.290
Er: 0.000 0.500 0.710
Er: 0.500 0.000 0.710
Er: 0.500 0.500 0.500
Er: 0.000 0.000 0.500
Mg: 0.500 0.500 0.114
Mg: 0.500 0.500 0.886

---

# 7
Compound: Na5Hg2
Source: Alexandria
Functional: PBE-GGA
Structure: optimized geometry

Results
Formation enthalpy at 0 K: -0.162 eV/atom
Space group: C2/c (15)
Theoretical density: 4.094 g/cm3
E_tot: -1.190 eV per atom

a b c (Å): 5.853 9.006 8.535
angles (deg): 97.40 110.05 90.00
Fractional positions:
Na: 0.292 0.441 0.215
Na: 0.076 0.059 0.785
Na: 0.132 0.679 0.569
Na: 0.563 0.821 0.431
Na: 0.868 0.321 0.431
Na: 0.437 0.179 0.569
Na: 0.924 0.941 0.215
Na: 0.708 0.559 0.785
Na: 0.725 0.250 0.000
Na: 0.275 0.750 0.000
Hg: 0.220 0.406 0.813
Hg: 0.406 0.094 0.187
Hg: 0.780 0.594 0.187
Hg: 0.594 0.906 0.813

---

# 8
Compound: FeNi7Ge2As2
Source: Alexandria
Functional: PBE-GGA
Structure: optimized geometry

Results
Formation enthalpy at 0 K: -0.075 eV/atom
Space group: C2/m (12)
Theoretical density: 7.497 g/cm3
E_tot: -5.697 eV per atom

a b c (Å): 3.507 3.507 14.149
angles (deg): 80.08 80.08 90.41
Each line ends with the local moment (μB).
Fractional positions:
Fe: 0.000 0.000 0.000  2.80
Ni: 0.500 0.500 0.000  0.50
Ni: 0.215 0.215 0.420  0.00
Ni: 0.785 0.785 0.580  0.00
Ni: 0.908 0.409 0.130  0.24
Ni: 0.409 0.908 0.130  0.24
Ni: 0.591 0.092 0.870  0.24
Ni: 0.092 0.591 0.870  0.24
Ge: 0.675 0.675 0.752  -0.04
Ge: 0.325 0.325 0.248  -0.04
As: 0.723 0.723 0.416  0.00
As: 0.277 0.277 0.584  0.00